VASP calculation (PBE-GGA) on crystalline LiCuAg2F6 at its relaxed geometry.

abc: 5.6106 5.6606 7.7424
angles: 90.00 89.34 90.00
Last column: nearest neighbours and their distance in Å.
Atoms (fractional coordinates):
Li  0.5000  0.0000  0.0000  6 F 2.02-2.14
Li  0.0000  0.5000  0.5000  6 F 2.02-2.14
Cu  0.5000  0.0000  0.5000  6 F 1.92-2.04
Cu  0.0000  0.5000  0.0000  6 F 1.92-2.04
Ag  0.0026  0.9689  0.2507  5 F 2.31-2.56
Ag  0.5026  0.5311  0.7507  5 F 2.31-2.56
Ag  0.9974  0.0311  0.7493  5 F 2.31-2.56
Ag  0.4974  0.4689  0.2493  5 F 2.31-2.56
F  0.3078  0.6750  0.0238  1 Cu 2.00, 1 Li 2.14
F  0.8078  0.8250  0.5238  1 Cu 2.00, 1 Li 2.14
F  0.6922  0.3250  0.9762  1 Cu 2.00, 1 Li 2.14
F  0.1922  0.1750  0.4762  1 Cu 2.00, 1 Li 2.14
F  0.3225  0.6886  0.4670  1 Cu 2.04, 1 Li 2.11
F  0.8225  0.8114  0.9670  1 Cu 2.04, 1 Li 2.11
F  0.6775  0.3114  0.5330  1 Cu 2.04, 1 Li 2.11
F  0.1775  0.1886  0.0330  1 Cu 2.04, 1 Li 2.11
F  0.9423  0.5214  0.2440  1 Cu 1.92, 1 Li 2.02
F  0.4423  0.9786  0.7440  1 Cu 1.92, 1 Li 2.02
F  0.0577  0.4786  0.7560  1 Cu 1.92, 1 Li 2.02
F  0.5577  0.0214  0.2560  1 Cu 1.92, 1 Li 2.02

The space group is No. 14. As for the formation energy (no corrections): -1.57 eV per atom. As for the density of states at the Fermi level: 9.74 states/eV per cell. For the total energy, the calculation gives -38.68 eV per formula unit. The total magnetic moment is 4.1 μB per cell. The calculation puts the volume at 246 Å³/cell. As for the crystal system: monoclinic.


VASP calculation (PBE-GGA) on crystalline LiCuAg2F4 at its relaxed geometry.

abc: 5.8083 5.3429 5.3738
angles: 120.89 123.21 87.65
Last column: nearest neighbours and their distance in Å.
Atoms (fractional coordinates):
Li  0.9777  0.4880  0.9666  4 F 1.86-1.91
Cu  0.6744  0.6392  0.3259  2 F 1.89-1.92
Ag  0.5011  0.0184  0.0056  3 F 2.43-2.64
Ag  0.3013  0.2586  0.5857  4 F 2.37-2.43
F  0.6714  0.6166  0.7345  1 Li 1.88
F  0.9744  0.4924  0.3217  1 Cu 1.89, 1 Li 1.91
F  0.3392  0.7692  0.2168  1 Li 1.89, 1 Cu 1.92
F  0.9475  0.1046  0.6173  1 Li 1.86

The space group is No. 1. As for the formation energy (no corrections): -1.47 eV per atom. For the total energy, the calculation gives -30.96 eV per formula unit. The total magnetic moment is 0.0 μB per cell. The calculation puts the volume at 113 Å³/cell. As for the crystal system: triclinic.


VASP calculation (PBE-GGA) on crystalline LiCuAgF3 at its relaxed geometry.

abc: 2.9973 6.5731 7.4184
angles: 90.54 90.00 90.00
Last column: nearest neighbours and their distance in Å.
Atoms (fractional coordinates):
Li  0.2500  0.6147  0.1340  6 F 2.02-2.11
Li  0.7500  0.3853  0.8660  6 F 2.02-2.11
Cu  0.2500  0.1316  0.5660  2 F 1.95
Cu  0.7500  0.8684  0.4340  2 F 1.95
Ag  0.2500  0.1365  0.2086  5 F 2.40-2.52, 1 Cu 2.65
Ag  0.7500  0.8635  0.7914  5 F 2.40-2.52, 1 Cu 2.65
F  0.7500  0.8399  0.1286  2 Li 2.11, 1 Cu 2.27
F  0.2500  0.1601  0.8714  2 Li 2.11, 1 Cu 2.27
F  0.2500  0.6807  0.4098  2 Cu 1.95, 1 Li 2.09
F  0.7500  0.3193  0.5902  2 Cu 1.95, 1 Li 2.09
F  0.7500  0.4094  0.1371  3 Li 2.02
F  0.2500  0.5906  0.8629  3 Li 2.02

The space group is No. 11. As for the formation energy (no corrections): -1.62 eV per atom. As for the density of states at the Fermi level: 2.51 states/eV per cell. For the total energy, the calculation gives -24.22 eV per formula unit. The total magnetic moment is 0.0 μB per cell. The calculation puts the volume at 146 Å³/cell. As for the crystal system: monoclinic.